No. 1
Crystalline BeSiAg2 at its relaxed geometry, computed with PBE.

Cell and atoms, written as POSCAR:
```
BeSiAg2
1.0
3.9656 0.0000 0.0000
0.0000 3.9656 0.0000
0.0000 0.0000 7.6389
Be Si Ag
2 2 4
Cartesian
0.0000 0.0000 0.0000
1.9828 1.9828 3.8195
0.0000 0.0000 3.8195
1.9828 1.9828 0.0000
0.0000 1.9828 1.9097
0.0000 1.9828 5.7292
1.9828 0.0000 1.9097
1.9828 0.0000 5.7292
```

Calculated values
SG: No. 139
Raw formation energy in eV/atom: 0.36
Final energy in eV per atom: -3.35
M_tot in μB per formula unit: 0.000

***

No. 2
Crystalline BeSiAg2 at its relaxed geometry, computed with PBE.

Cell and atoms, written as POSCAR:
```
BeSiAg2
1.0
2.8598 0.0000 0.0000
0.0000 4.3594 0.0000
-0.0992 0.0000 4.9268
Be Si Ag
1 1 2
Cartesian
0.0000 0.0000 0.0000
1.3803 0.0000 2.4634
0.7118 2.1797 1.1904
2.0489 2.1797 3.7364
```

Calculated values
SG: No. 10
Raw formation energy in eV/atom: 0.38
Final energy in eV per atom: -3.33
M_tot in μB per formula unit: 0.000

***

No. 3
Crystalline BeSiAg2 at its relaxed geometry, computed with PBE.

Cell and atoms, written as POSCAR:
```
BeSiAg2
1.0
6.2899 0.0000 0.0000
0.0000 6.2899 0.0000
0.0000 0.0000 6.2899
Be Si Ag
4 4 8
Cartesian
0.0000 0.0000 0.0000
0.0000 3.1450 3.1450
3.1450 0.0000 3.1450
3.1450 3.1450 0.0000
1.5725 1.5725 1.5725
1.5725 4.7174 4.7174
4.7174 1.5725 4.7174
4.7174 4.7174 1.5725
0.0000 0.0000 3.1450
0.0000 3.1450 0.0000
1.5725 1.5725 4.7174
1.5725 4.7174 1.5725
3.1450 0.0000 0.0000
3.1450 3.1450 3.1450
4.7174 1.5725 1.5725
4.7174 4.7174 4.7174
```

Calculated values
SG: No. 216
Raw formation energy in eV/atom: 0.48
Final energy in eV per atom: -3.23
M_tot in μB per formula unit: 0.000

***

No. 4
Crystalline BeSiAg2 at its relaxed geometry, computed with PBE.

Cell and atoms, written as POSCAR:
```
BeSiAg2
1.0
2.8443 0.0000 0.0000
-1.4221 2.4632 0.0000
0.0000 0.0000 25.6743
Be Si Ag
3 3 6
Cartesian
0.0000 0.0000 0.0000
0.0000 1.6421 17.1162
1.4221 0.8211 8.5581
0.0000 0.0000 12.8372
0.0000 1.6421 4.2791
1.4221 0.8211 21.3953
0.0000 0.0000 6.6215
0.0000 0.0000 19.0528
0.0000 1.6421 10.4947
0.0000 1.6421 23.7377
1.4221 0.8211 1.9366
1.4221 0.8211 15.1796
```

Calculated values
SG: No. 166
Raw formation energy in eV/atom: 0.29
Final energy in eV per atom: -3.42
M_tot in μB per formula unit: 0.000

***

No. 5
Crystalline Be2SiAg at its relaxed geometry, computed with PBE.

Cell and atoms, written as POSCAR:
```
Be2SiAg
1.0
5.0051 0.0000 0.0000
0.0000 6.8567 0.0000
0.0000 0.0000 2.9119
Be Si Ag
4 2 2
Cartesian
1.2513 1.7142 0.0000
1.2513 5.1425 0.0000
3.7538 1.7142 0.0000
3.7538 5.1425 0.0000
0.0000 0.0000 1.4559
2.5025 3.4284 1.4559
0.0000 3.4284 1.4559
2.5025 0.0000 1.4559
```

Calculated values
SG: No. 65
Raw formation energy in eV/atom: 0.35
Final energy in eV per atom: -3.58
M_tot in μB per formula unit: 0.000

***

No. 6
Crystalline BeSiAg2 at its relaxed geometry, computed with PBE.

Cell and atoms, written as POSCAR:
```
BeSiAg2
1.0
8.5971 0.0000 0.0000
0.0000 3.0536 0.0000
-0.8649 0.0000 4.5964
Be Si Ag
2 2 4
Cartesian
0.0000 0.0000 0.0000
4.2985 1.5268 0.0000
-0.4324 1.5268 2.2982
3.8661 0.0000 2.2982
1.8657 1.5268 1.1103
1.5680 0.0000 3.4861
6.1642 0.0000 1.1103
5.8665 1.5268 3.4861
```

Calculated values
SG: No. 12
Raw formation energy in eV/atom: 0.34
Final energy in eV per atom: -3.37
M_tot in μB per formula unit: 0.000

***

No. 7
Crystalline BeSiAg2 at its relaxed geometry, computed with PBE.

Cell and atoms, written as POSCAR:
```
BeSiAg2
1.0
2.7482 0.0000 0.0000
0.0000 4.2618 0.0000
0.0000 0.0000 10.5795
Be Si Ag
2 2 4
Cartesian
0.0000 0.0000 0.0000
1.3741 2.1309 5.2897
0.0000 2.1309 7.2400
1.3741 0.0000 1.9503
0.0000 0.0000 5.4016
0.0000 2.1309 3.1622
1.3741 0.0000 8.4519
1.3741 2.1309 0.1119
```

Calculated values
SG: No. 44
Raw formation energy in eV/atom: 0.30
Final energy in eV per atom: -3.41
M_tot in μB per formula unit: 0.000

***

No. 8
Crystalline Be2SiAg at its relaxed geometry, computed with PBE.

Cell and atoms, written as POSCAR:
```
Be2SiAg
1.0
2.8452 0.0000 0.0000
0.0000 3.3085 0.0000
-0.0129 0.0000 5.2101
Be Si Ag
2 1 1
Cartesian
0.0003 0.0000 1.1094
2.8319 0.0000 4.1007
1.4226 1.6543 0.0000
1.4161 1.6543 2.6050
```

Calculated values
SG: No. 10
Raw formation energy in eV/atom: 0.27
Final energy in eV per atom: -3.66
M_tot in μB per formula unit: 0.000

***

No. 9
Crystalline BeSiAg2 at its relaxed geometry, computed with PBE.

Cell and atoms, written as POSCAR:
```
BeSiAg2
1.0
2.8611 0.0000 0.0000
0.0000 3.7572 0.0000
0.0000 0.0000 5.5808
Be Si Ag
1 1 2
Cartesian
0.0000 0.0000 0.0000
0.0000 0.0000 2.7904
1.4305 1.8786 1.3390
1.4305 1.8786 4.2419
```

Calculated values
SG: No. 47
Raw formation energy in eV/atom: 0.35
Final energy in eV per atom: -3.37
M_tot in μB per formula unit: 0.000

***

No. 10
Crystalline Be2SiAg at its relaxed geometry, computed with PBE.

Cell and atoms, written as POSCAR:
```
Be2SiAg
1.0
3.7624 0.0000 0.0000
0.0000 3.7624 0.0000
0.0000 0.0000 7.0704
Be Si Ag
4 2 2
Cartesian
0.0000 1.8812 1.7676
0.0000 1.8812 5.3028
1.8812 0.0000 1.7676
1.8812 0.0000 5.3028
0.0000 0.0000 0.0000
1.8812 1.8812 3.5352
0.0000 0.0000 3.5352
1.8812 1.8812 0.0000
```

Calculated values
SG: No. 139
Raw formation energy in eV/atom: 0.37
Final energy in eV per atom: -3.56
M_tot in μB per formula unit: 0.000

***

No. 11
Crystalline Be2SiAg at its relaxed geometry, computed with PBE.

Cell and atoms, written as POSCAR:
```
Be2SiAg
1.0
2.6217 0.0000 0.0000
0.0000 3.4613 0.0000
0.0000 0.0000 5.5830
Be Si Ag
2 1 1
Cartesian
0.0000 0.0000 0.0000
1.3108 1.7306 1.0485
0.0000 0.0000 2.2751
1.3108 1.7306 4.1657
```

Calculated values
SG: No. 25
Raw formation energy in eV/atom: 0.33
Final energy in eV per atom: -3.60
M_tot in μB per formula unit: 0.000

***

No. 12
Crystalline Be3SiAg at its relaxed geometry, computed with PBE.

Cell and atoms, written as POSCAR:
```
Be3SiAg
1.0
4.3071 0.0000 0.0000
0.0000 4.3071 0.0000
0.0000 0.0000 4.3071
Be Si Ag
3 1 1
Cartesian
0.0000 0.0000 2.1535
0.0000 2.1535 0.0000
2.1535 0.0000 0.0000
2.1535 2.1535 2.1535
0.0000 0.0000 0.0000
```

Calculated values
SG: No. 221
Raw formation energy in eV/atom: 1.06
Final energy in eV per atom: -2.83
M_tot in μB per formula unit: 0.000